VASP calculation (PBE+U) on crystalline ZnCoRuO6 at its relaxed geometry.

Cell lengths 4.9547, 4.9547, 8.8461 Å; angles 90.00, 90.00, 120.00 degrees
Positions (direct):
Zn 0.0000 0.0000 0.0000
Zn 0.0000 0.0000 0.5000
Ru 0.3333 0.6667 0.2500
Ru 0.6667 0.3333 0.7500
O 0.3609 0.3570 0.3676
O 0.6391 0.6430 0.6324
O 0.3570 0.3609 0.8676
O 0.9962 0.3570 0.1324
O 0.6391 0.9962 0.8676
O 0.0038 0.6430 0.8676
O 0.3609 0.0038 0.1324
O 0.9962 0.6391 0.3676
O 0.6430 0.0038 0.3676
O 0.6430 0.6391 0.1324
O 0.0038 0.3609 0.6324
O 0.3570 0.9962 0.6324
Co 0.6667 0.3333 0.2500
Co 0.3333 0.6667 0.7500

## Properties
ρ in g cm⁻³: 5.7
E in eV per atom: -5.861

VASP calculation (PBE+U) on crystalline ZnCo2RuO6 at its relaxed geometry.

Cell lengths 5.0977, 5.0976, 5.4411 Å; angles 62.06, 62.06, 60.00 degrees
Each line ends with the local moment (μB).
Positions (direct):
Co 0.5122 0.5122 0.4633  0.35
Co 0.0207 0.0207 0.9377  2.72
O 0.4141 0.7085 0.7439  0.08
O 0.9102 0.5910 0.2494  0.20
O 0.1335 0.4140 0.7440  0.08
O 0.7085 0.1335 0.7439  0.08
O 0.2495 0.9102 0.2494  0.20
O 0.5908 0.2495 0.2494  0.20
Zn 0.8072 0.8071 0.5786  0.04
Ru 0.3148 0.3148 0.0556  1.78

## Properties
ρ in g cm⁻³: 6.1
E in eV per atom: -6.016

VASP calculation (PBE+U) on crystalline CoSO2 at its relaxed geometry.

Cell lengths 5.3769, 5.3769, 5.0686 Å; angles 57.97, 57.97, 90.00 degrees
Each line ends with the local moment (μB).
Positions (direct):
O 0.8750 0.9034 0.7500  0.08
O 0.6534 0.1250 0.2500  0.08
O 0.3750 0.3466 0.7500  0.09
O 0.0966 0.6250 0.2500  0.08
Co 0.0000 0.0000 0.0000  2.62
Co 0.7500 0.2500 0.5000  2.62
S 0.5000 0.5000 0.0000  0.00
S 0.2500 0.7500 0.5000  0.00

## Properties
ρ in g cm⁻³: 4.2
E in eV per atom: -4.719

VASP calculation (PBE+U) on crystalline CoSO4 at its relaxed geometry.

Cell lengths 4.8200, 6.7865, 8.6780 Å; angles 90.00, 90.00, 90.00 degrees
Each line ends with the local moment (μB).
Positions (direct):
S 0.5270 0.7500 0.8221  0.01
S 0.4730 0.2500 0.1779  0.01
S 0.0270 0.2500 0.6779  0.01
S 0.9730 0.7500 0.3221  0.01
O 0.5409 0.7500 0.6472  0.05
O 0.0410 0.2500 0.8528  0.05
O 0.1642 0.4323 0.6252  0.03
O 0.1642 0.0677 0.6252  0.03
O 0.3358 0.0677 0.1252  0.03
O 0.2674 0.7500 0.3764  0.04
O 0.3358 0.4323 0.1253  0.03
O 0.6642 0.9323 0.8748  0.03
O 0.8358 0.5677 0.3748  0.03
O 0.7326 0.2500 0.6236  0.04
O 0.9590 0.7500 0.1472  0.05
O 0.2326 0.7500 0.8764  0.04
O 0.6642 0.5677 0.8747  0.03
O 0.7674 0.2500 0.1236  0.04
O 0.4591 0.2500 0.3528  0.05
O 0.8358 0.9323 0.3748  0.03
Co 0.5000 0.5000 0.5000  2.74
Co 0.0000 0.0000 0.0000  2.74
Co 0.0000 0.5000 0.0000  2.74
Co 0.5000 0.0000 0.5000  2.74

## Properties
ρ in g cm⁻³: 3.6
E in eV per atom: -6.153